Entry 1:
## ScCd2H2 (PBE)

Data for ScCd2H2 after structural relaxation.

Properties
The value obtained for the energy above the most stable polymorph in this dataset is 0 meV/atom. The calculation puts the total magnetization at 0.000 μB/f.u.

abc: 5.6868 5.6868 4.7210
angles: 90.00 90.00 90.00
Last column: nearest neighbours and their distance in Å.
Fractional positions:
Cd (0.6851, 0.8149, 0.5000)  2 H 2.36
H (0.1975, 0.6975, 0.0000)  2 Sc 2.05
Sc (0.0000, 0.0000, 0.0000)  4 H 2.05
Cd (0.8149, 0.3149, 0.5000)  2 H 2.36
H (0.8025, 0.3025, 0.0000)  2 Sc 2.05
H (0.3025, 0.1975, 0.0000)  2 Sc 2.05
Cd (0.3149, 0.1851, 0.5000)  2 H 2.36
Cd (0.1851, 0.6851, 0.5000)  2 H 2.36
Sc (0.5000, 0.5000, 0.0000)  4 H 2.05
H (0.6975, 0.8025, 0.0000)  2 Sc 2.05


Entry 2:
## Sc2Cd2H (PBE)

Data for Sc2Cd2H after structural relaxation.

Properties
As for the total energy: -3.72 eV/atom. The calculation puts the total magnetization at 0.000 μB/f.u.

abc: 6.0918 6.0918 5.2450
angles: 90.00 90.00 90.00
Last column: nearest neighbours and their distance in Å.
Fractional positions:
Sc (0.6688, 0.1688, 0.0000)  2 H 2.26
Cd (0.1615, 0.6615, 0.5000)  1 Cd 2.78, 2 Sc 3.00
Sc (0.1688, 0.3312, 0.0000)  2 H 2.26
Cd (0.8385, 0.3385, 0.5000)  1 Cd 2.78, 2 Sc 3.00
Cd (0.3385, 0.1615, 0.5000)  1 Cd 2.78, 2 Sc 3.00
Cd (0.6615, 0.8385, 0.5000)  1 Cd 2.78, 2 Sc 3.00
Sc (0.3312, 0.8312, 0.0000)  2 H 2.26
H (0.5000, 0.5000, 0.0000)  4 Sc 2.26
H (0.0000, 0.0000, 0.0000)  4 Sc 2.26
Sc (0.8312, 0.6688, 0.0000)  2 H 2.26


Entry 3:
## Sc2CdH (PBE)

Data for Sc2CdH after structural relaxation.

Properties
The value obtained for the energy above the most stable polymorph in this dataset is 194 meV/atom. The calculation puts the total magnetization at 0.000 μB/f.u.

abc: 8.6285 8.6285 8.6285
angles: 21.68 21.68 21.68
Last column: nearest neighbours and their distance in Å.
Fractional positions:
Sc (0.1191, 0.1191, 0.1191)  3 H 2.23
H (0.5000, 0.5000, 0.5000)  6 Sc 2.23
Sc (0.8809, 0.8809, 0.8809)  3 H 2.23
Cd (0.0000, 0.0000, 0.0000)  2 Sc 3.01, 6 Cd 3.25


Entry 4:
## Sc4Cd2H (PBE)

Data for Sc4Cd2H after structural relaxation.

Properties
As for the total energy: -4.51 eV/atom. The calculation puts the total magnetization at 0.894 μB/f.u.

abc: 4.2863 4.2863 8.4158
angles: 75.25 75.25 90.00
Last column: nearest neighbours and their distance in Å.
Fractional positions:
Sc (0.1759, 0.1759, 0.6481)  1 H 2.76, 1 Cd 2.96
Sc (0.8241, 0.8241, 0.3519)  1 H 2.76, 1 Cd 2.96
Cd (0.6359, 0.6359, 0.7283)  9 Sc 2.96-3.10
Cd (0.3641, 0.3641, 0.2717)  9 Sc 2.96-3.10
Sc (0.5000, 0.0000, 0.0000)  2 H 2.14
H (0.0000, 0.0000, 0.0000)  4 Sc 2.14
Sc (0.0000, 0.5000, 0.0000)  2 H 2.14